Entry 1:
# Th2CoTe

A relaxed Th2CoTe crystal (GGA-PBE, Alexandria via LeMat-Bulk).

Cell lengths 4.0598, 4.0598, 8.1013 Å; angles 75.49, 75.49, 60.00 degrees
With the nearest neighbours (Å) after each atom.
Positions (direct):
Th 0.0640 0.0640 0.8081  3 Co 2.76
Th 0.2686 0.2686 0.1941  3 Co 2.80
Co 0.6681 0.6681 0.9958  6 Th 2.76-2.80
Te 0.4993 0.4993 0.5020  6 Th 3.34-3.35

Summary:
- mass density (g cm⁻³) = 9.76
- magnetization (μB per atom) = 0.00
- uncorrected formation energy (kcal/mol of atoms) = -16.5
- excess energy over the best structure of this formula in the dataset (meV per atom) = 36
- VASP energy (eV/cell) = -28.0



Entry 2:
# Th6CoTe3

A relaxed Th6CoTe3 crystal (GGA-PBE, Alexandria via LeMat-Bulk).

Cell lengths 6.4806, 10.0252, 10.0252 Å; angles 112.04, 90.00, 90.00 degrees
With the nearest neighbours (Å) after each atom.
Positions (direct):
Th 0.0541 0.7895 0.6276  5 Te 3.21-3.55, 1 Co 3.34, 2 Th 3.47-3.49
Th 0.5541 0.6276 0.7895  5 Te 3.21-3.55, 1 Co 3.34, 2 Th 3.47-3.49
Th 0.2446 0.4035 0.9001  1 Co 3.02, 2 Te 3.21
Th 0.7446 0.9001 0.4035  1 Co 3.02, 2 Te 3.21
Th 0.2965 0.0108 0.9892  2 Co 2.50-2.74
Th 0.7430 0.2230 0.7770  1 Co 2.55
Th 0.2430 0.7770 0.2230  1 Co 2.55
Th 0.7965 0.9892 0.0108  2 Co 2.50-2.74
Th 0.2446 0.0999 0.5965  1 Co 3.02, 2 Te 3.21
Th 0.7446 0.5965 0.0999  1 Co 3.02, 2 Te 3.21
Th 0.0541 0.3724 0.2105  5 Te 3.21-3.55, 1 Co 3.34, 2 Th 3.47-3.49
Th 0.5541 0.2105 0.3724  5 Te 3.21-3.55, 1 Co 3.34, 2 Th 3.47-3.49
Co 0.0425 0.1236 0.8764  3 Th 2.50-2.74
Co 0.5425 0.8764 0.1236  3 Th 2.50-2.74
Te 0.5471 0.9023 0.6977  8 Th 3.16-3.46
Te 0.0471 0.6977 0.9023  8 Th 3.16-3.46
Te 0.2120 0.4323 0.5677  6 Th 3.23-3.55, 2 Te 3.57
Te 0.7120 0.5677 0.4323  6 Th 3.23-3.55, 2 Te 3.57
Te 0.0471 0.0977 0.3023  8 Th 3.16-3.46
Te 0.5471 0.3023 0.0977  8 Th 3.16-3.46

Summary:
- mass density (g cm⁻³) = 10.09
- magnetization (μB per atom) = 0.00
- uncorrected formation energy (kcal/mol of atoms) = -11.1
- VASP energy (eV/cell) = -131.8



Entry 3:
# Th8CoTe2

A relaxed Th8CoTe2 crystal (GGA-PBE, Alexandria via LeMat-Bulk).

Cell lengths 7.5398, 7.3959, 7.3959 Å; angles 58.93, 80.31, 80.31 degrees
With the nearest neighbours (Å) after each atom.
Positions (direct):
Th 0.1520 0.0669 0.6050  1 Co 2.77
Th 0.1520 0.6050 0.0669  1 Co 2.77
Th 0.8480 0.9331 0.3950  1 Co 2.77
Th 0.2401 0.5435 0.5435  2 Te 3.14-3.43, 2 Th 3.48
Th 0.8480 0.3950 0.9331  1 Co 2.77
Th 0.3005 0.0850 0.0850  1 Co 2.70
Th 0.6995 0.9150 0.9150  1 Co 2.70
Th 0.7599 0.4565 0.4565  2 Te 3.14-3.43, 2 Th 3.48
Co 0.0000 0.0000 0.0000  6 Th 2.70-2.77
Te 0.4988 0.2935 0.2935  7 Th 3.14-3.43
Te 0.5012 0.7065 0.7065  7 Th 3.14-3.43

Summary:
- mass density (g cm⁻³) = 10.40
- magnetization (μB per atom) = 0.00
- uncorrected formation energy (kcal/mol of atoms) = -4.6
- VASP energy (eV/cell) = -74.9



Entry 4:
# Th3CoTe2

A relaxed Th3CoTe2 crystal (GGA-PBE, Alexandria via LeMat-Bulk).

Cell lengths 4.0019, 6.2369, 7.9260 Å; angles 113.17, 104.62, 90.00 degrees
With the nearest neighbours (Å) after each atom.
Positions (direct):
Th 0.3712 0.3712 0.7425  2 Co 2.69
Th 0.0000 0.0000 0.0000  2 Co 3.12, 4 Te 3.25
Th 0.6288 0.6288 0.2575  2 Co 2.69
Co 0.0000 0.5000 0.0000  4 Th 2.69
Te 0.6827 0.1827 0.3653  6 Th 3.21-3.31
Te 0.3173 0.8173 0.6347  6 Th 3.21-3.31

Summary:
- mass density (g cm⁻³) = 9.59
- magnetization (μB per atom) = 0.00
- uncorrected formation energy (kcal/mol of atoms) = -19.5
- excess energy over the best structure of this formula in the dataset (meV per atom) = 36
- VASP energy (eV/cell) = -40.7



Entry 5:
# Th4CoTe3

A relaxed Th4CoTe3 crystal (GGA-PBE, Alexandria via LeMat-Bulk).

Cell lengths 6.2664, 6.2666, 12.3784 Å; angles 90.00, 90.00, 90.00 degrees
With the nearest neighbours (Å) after each atom.
Positions (direct):
Th 0.0644 0.7488 0.0000  4 Te 3.09-3.13, 2 Co 3.13
Th 0.5644 0.2480 0.0000  4 Te 3.09-3.13, 2 Co 3.13
Th 0.0644 0.2483 0.2039  1 Co 2.52
Th 0.5644 0.7517 0.2961  1 Co 2.52
Th 0.0644 0.7520 0.5000  4 Te 3.09-3.13, 2 Co 3.13
Th 0.5644 0.2512 0.5000  4 Te 3.09-3.13, 2 Co 3.13
Th 0.5644 0.7517 0.7039  1 Co 2.52
Th 0.0644 0.2483 0.7961  1 Co 2.52
Co 0.0644 0.2486 0.0000  2 Th 2.52
Co 0.5644 0.7514 0.5000  2 Th 2.52
Te 0.5644 0.7482 0.0000  4 Th 3.13
Te 0.0644 0.7484 0.2500  6 Th 3.09-3.19
Te 0.5644 0.2516 0.2500  6 Th 3.09-3.19
Te 0.0644 0.2518 0.5000  4 Th 3.13
Te 0.5644 0.2516 0.7500  6 Th 3.09-3.19
Te 0.0644 0.7484 0.7500  6 Th 3.09-3.19

Summary:
- mass density (g cm⁻³) = 9.36
- magnetization (μB per atom) = 0.00
- uncorrected formation energy (kcal/mol of atoms) = -18.6
- excess energy over the best structure of this formula in the dataset (meV per atom) = 90
- VASP energy (eV/cell) = -105.3



Entry 6:
# Th5Co2Te2

A relaxed Th5Co2Te2 crystal (GGA-PBE, Alexandria via LeMat-Bulk).

Cell lengths 8.4609, 7.2503, 9.0305 Å; angles 90.00, 62.07, 90.00 degrees
With the nearest neighbours (Å) after each atom.
Positions (direct):
Th 0.0000 0.0000 0.0000  2 Co 2.62
Th 0.5000 0.5000 0.0000  2 Co 2.62
Th 0.4417 0.1463 0.7694  3 Co 2.95-2.98, 1 Te 3.30
Th 0.7890 0.8537 0.7694  3 Co 2.95-2.98, 1 Te 3.30
Th 0.2890 0.6463 0.7694  3 Co 2.95-2.98, 1 Te 3.30
Th 0.9417 0.3537 0.7694  3 Co 2.95-2.98, 1 Te 3.30
Th 0.5583 0.8537 0.2306  3 Co 2.95-2.98, 1 Te 3.30
Th 0.2110 0.1463 0.2306  3 Co 2.95-2.98, 1 Te 3.30
Th 0.7110 0.3537 0.2306  3 Co 2.95-2.98, 1 Te 3.30
Th 0.0583 0.6463 0.2306  3 Co 2.95-2.98, 1 Te 3.30
Co 0.1038 0.3398 0.0000  1 Th 2.62, 1 Co 2.91
Co 0.8962 0.6602 0.0000  1 Th 2.62, 1 Co 2.91
Co 0.3962 0.8398 0.0000  1 Th 2.62, 1 Co 2.91
Co 0.6038 0.1602 0.0000  1 Th 2.62, 1 Co 2.91
Te 0.2070 0.0000 0.5860  7 Th 3.30-3.36
Te 0.7070 0.5000 0.5860  7 Th 3.30-3.36
Te 0.7930 0.0000 0.4140  7 Th 3.30-3.36
Te 0.2930 0.5000 0.4140  7 Th 3.30-3.36

Summary:
- mass density (g cm⁻³) = 10.40
- magnetization (μB per atom) = 0.00
- uncorrected formation energy (kcal/mol of atoms) = -13.8
- VASP energy (eV/cell) = -125.9



- What is the magnetization in the fourth record?
  0.00 μB per atom